(1)
Material: Li4Mg5Cd4
Method: DFT, PBE
State: optimized geometry

Results
As for the formation energy: -0.110 eV/atom.

Lattice parameters (Å, degrees): 4.497 8.049 8.049 85.52 73.78 73.78
Fractional coordinates of all 13 atoms:
Cd1 0.624 0.300 0.452
Cd2 0.076 0.548 0.300
Cd3 0.924 0.452 0.700
Cd4 0.376 0.700 0.548
Li1 0.159 0.073 0.610
Li2 0.232 0.610 0.927
Li3 0.841 0.927 0.390
Li4 0.768 0.390 0.073
Mg1 0.530 0.771 0.169
Mg2 0.470 0.229 0.831
Mg3 0.000 0.000 0.000
Mg4 0.301 0.169 0.229
Mg5 0.699 0.831 0.771

=====

(2)
Material: Pm2AlVS6
Method: DFT, PBE
State: optimized geometry

Results
The value obtained for the formation energy without anion corrections is -1494 meV per atom.

Lattice parameters (Å, degrees): 6.331 6.917 9.154 90.00 89.62 90.00
Last column: magnetic moment on the atom in μB.
Fractional coordinates of all 20 atoms:
S1 0.386 0.980 0.749  -0.03
S2 0.819 0.810 0.947  -0.02
S3 0.318 0.686 0.052  -0.02
S4 0.614 0.020 0.251  -0.03
S5 0.319 0.690 0.447  -0.02
S6 0.181 0.190 0.053  -0.02
S7 0.886 0.520 0.249  -0.03
S8 0.114 0.480 0.751  -0.03
S9 0.682 0.314 0.948  -0.02
S10 0.681 0.310 0.553  -0.02
S11 0.182 0.186 0.448  -0.02
S12 0.818 0.814 0.552  -0.02
Pm1 0.462 0.400 0.251  0.02
Pm2 0.538 0.600 0.749  0.02
Pm3 0.962 0.100 0.751  0.02
Pm4 0.038 0.900 0.249  0.02
V1 0.500 0.000 0.000  1.81
V2 0.000 0.500 0.500  1.81
Al1 0.000 0.500 0.000  0.01
Al2 0.500 0.000 0.500  0.01

=====

(3)
Material: LiHfPt4
Method: DFT, PBE
State: optimized geometry

Results
The energy above the most stable polymorph in this dataset comes out at 0.00 kJ/mol of atoms. As for the formation energy: -0.732 eV/atom.

Lattice parameters (Å, degrees): 3.768 5.062 6.426 108.51 72.95 68.15
Fractional coordinates of all 6 atoms:
Pt1 0.183 0.472 0.162
Pt2 0.337 0.001 0.325
Pt3 0.663 0.999 0.675
Pt4 0.817 0.528 0.838
Hf1 0.500 0.500 0.500
Li1 0.000 0.000 0.000

=====

Calculated total magnetization (μB/f.u.), listed in the same order as above: 0.00 2.00 0.00